Ca2AlP3Pt7 after structural relaxation. Source: Alexandria, functional GGA-PBEsol.

Unit cell a=3.977 b=3.977 c=26.917 alpha=90.00 beta=90.00 gamma=90.00
Space group I-4m2 (No. 119)
Symmetry-distinct sites (fractional):
1 Ca 0.000 0.000 0.166
2 Al 0.000 0.000 0.000
3 P 0.000 0.000 0.378
4 P 0.000 0.500 0.750
5 Pt 0.000 0.000 0.293
6 Pt 0.000 0.000 0.500
7 Pt 0.000 0.500 0.073
8 Pt 0.000 0.500 0.571

Summary:
Its density of states at the Fermi level is 3.97 states/eV/f.u. For the density, the calculation gives 12.21 g cm⁻³. As for the energy of formation from the pure elements: -0.9423 eV per atom. For the total energy, the calculation gives -173.45 eV per cell.